## LiGe2RhBr (PBE)

Data for LiGe2RhBr after structural relaxation.

Cell and atoms, written as POSCAR:
```
LiGe2RhBr
1.0
-3.654 2.349 1.394
-5.100 -5.299 -4.439
-0.354 -2.716 3.648
Ge Rh Br Li
2 1 1 1
direct
0.000 0.000 0.500
0.500 0.000 0.000
0.000 0.000 0.000
0.000 0.500 0.000
0.500 0.500 0.500
```

Calculated values
- volume (A^3/atom) = 35.75
- energy relative to the elements, uncorrected (eV per atom) = -0.062
- symmetry = P4/mmm
- polymorph energy (0 for the lowest one) (eV/atom) = 0.000
- calculated total energy (eV per atom) = -4.0961
- total magnetization (μB/atom) = 0.00